<1>
NpIn2Au PBE optimized geometry; total magnetic moment = 4.3 μB/cell; SG = R-3m (166)
1.0
4.702 0.000 0.000
2.351 4.072 0.000
2.351 1.357 5.137
Np Au In
1 1 2
Cartesian
0.000 0.000 0.000 Np
4.702 2.714 2.569 Au
7.052 4.072 3.494 In
2.351 1.357 1.644 In


<2>
NpIn2Au PBE optimized geometry; total magnetic moment = 4.3 μB/cell; SG = P4/mmm (123)
1.0
4.737 0.000 0.000
0.000 4.484 0.000
0.000 0.000 4.484
Np Au In
1 1 2
Cartesian
2.368 2.242 2.242 Np
2.368 0.000 0.000 Au
0.000 0.000 2.242 In
0.000 2.242 0.000 In


<3>
NpIn2Au PBE optimized geometry; total magnetic moment = 4.7 μB/cell; SG = P4/mmm (123)
1.0
3.285 0.000 0.000
0.000 3.285 0.000
0.000 0.000 8.440
Np Au In
1 1 2
Cartesian
1.642 1.642 4.220 Np
1.642 1.642 0.000 Au
0.000 0.000 6.585 In
0.000 0.000 1.855 In


Least stable of them? <1>.


<1>
NpInAu6 PBE optimized geometry; total magnetic moment = 4.0 μB/cell; SG = P-1 (2)
1.0
4.924 -0.002 0.889
2.344 4.282 0.577
-0.289 -0.860 7.697
Np In Au
1 1 6
Cartesian
1.028 1.711 4.137 Np
0.000 0.000 0.000 In
3.284 3.076 5.764 Au
3.264 0.208 6.186 Au
2.189 1.473 1.131 Au
3.716 3.213 2.976 Au
3.695 0.345 3.398 Au
4.790 1.948 8.031 Au


<2>
NpInAu6 PBE optimized geometry; total magnetic moment = 4.0 μB/cell; SG = Amm2 (38)
1.0
4.801 0.000 0.000
0.000 6.004 0.337
0.000 -2.356 5.533
Np In Au
1 1 6
Cartesian
0.000 -1.334 4.898 Np
2.400 0.879 3.523 In
0.000 -0.578 2.039 Au
0.000 1.564 5.486 Au
0.000 2.301 2.639 Au
2.400 2.392 0.848 Au
2.400 3.948 3.350 Au
2.400 5.419 0.701 Au


Least stable of them? <2>.


<1>
NpInAu2 PBE optimized geometry; total magnetic moment = 4.3 μB/cell; SG = P4/mmm (123)
1.0
3.276 0.000 0.000
0.000 3.276 0.000
0.000 0.000 8.067
Np Au In
1 2 1
Cartesian
1.638 1.638 4.034 Np
0.000 0.000 6.139 Au
0.000 0.000 1.929 Au
1.638 1.638 0.000 In


<2>
NpInAu2 PBE optimized geometry; total magnetic moment = 4.3 μB/cell; SG = R3m (160)
1.0
-3.736 -1.903 -0.531
-2.192 -1.327 3.361
-5.013 4.793 1.280
Np In Au
1 1 2
Cartesian
-8.947 2.604 3.164 Np
-5.503 0.845 2.059 In
-4.202 3.226 1.190 Au
-2.772 0.461 1.031 Au


Least stable of them? <2>.


<1>
NpInAu2 PBE optimized geometry; total magnetic moment = 4.3 μB/cell; SG = P4/mmm (123)
1.0
-1.919 -1.824 -2.693
-0.646 -3.804 3.036
-4.179 2.003 1.621
Np Au In
1 2 1
Cartesian
-3.372 -1.812 0.982 Np
-2.090 1.002 0.810 Au
-0.323 -1.902 1.518 Au
-0.960 -0.912 -1.347 In


<2>
NpInAu2 PBE optimized geometry; total magnetic moment = 4.0 μB/cell; SG = Fm-3m (225)
1.0
-0.787 -3.221 -3.742
1.740 -4.676 0.319
-3.176 -3.813 0.610
Np Au In
1 2 1
Cartesian
0.000 0.000 0.000 Np
-0.556 -2.927 -0.703 Au
-1.667 -8.782 -2.110 Au
-1.111 -5.855 -1.407 In


Least stable of them? <1>.


<1>
InAu2O PBE optimized geometry; total magnetic moment = 0.0 μB/cell; SG = I-42d (122)
1.0
-4.680 0.848 -1.838
0.937 -3.196 -3.860
-4.265 -6.352 0.858
Au O In
4 2 2
Cartesian
-3.323 -1.557 -1.200 Au
-1.617 -3.380 -2.644 Au
-4.492 -6.021 -1.948 Au
-6.584 -6.443 -3.888 Au
-1.871 -1.174 -2.849 O
-2.600 -5.361 -2.926 O
0.000 0.000 0.000 In
-5.408 -3.339 -1.915 In


<2>
InAu2O PBE optimized geometry; total magnetic moment = 0.1 μB/cell; SG = Fm-3m (225)
1.0
0.000 3.237 3.237
3.237 0.000 3.237
3.237 3.237 0.000
Au O In
2 1 1
Cartesian
1.618 1.618 1.618 Au
4.855 4.855 4.855 Au
0.000 0.000 0.000 O
3.237 3.237 3.237 In


Least stable of them? <2>.


<1>
InOsAu PBE optimized geometry; total magnetic moment = 0.0 μB/cell; SG = Imm2 (44)
1.0
-0.664 -3.957 -3.355
3.412 -3.929 -0.522
-3.226 2.741 3.072
Au In Os
1 1 1
Cartesian
0.008 -0.022 -0.011 Au
0.900 -2.583 -1.270 In
1.840 -5.281 -2.596 Os


<2>
InOsAu PBE optimized geometry; total magnetic moment = 0.0 μB/cell; SG = P3m1 (156)
1.0
2.989 0.000 0.000
-1.495 2.589 0.000
0.000 0.000 6.854
Au In Os
1 1 1
Cartesian
0.000 0.000 6.818 Au
1.495 0.863 2.348 In
0.000 1.726 4.541 Os


Least stable of them? <1>.


<1>
InPAu3 PBE optimized geometry; total magnetic moment = 0.0 μB/cell; SG = Pm-3m (221)
1.0
-0.726 0.271 4.789
-2.358 -4.237 -0.118
4.176 -2.345 0.766
P Au In
1 3 1
Cartesian
0.000 0.000 0.000 P
-1.179 -2.119 -0.059 Au
2.088 -1.173 0.383 Au
-0.363 0.136 2.394 Au
0.546 -3.156 2.719 In


<2>
InPAu3 PBE optimized geometry; total magnetic moment = 1.1 μB/cell; SG = Pm-3m (221)
1.0
-2.112 3.114 3.505
-0.986 -4.054 3.007
4.584 0.563 2.262
P Au In
1 3 1
Cartesian
0.743 -0.188 4.387 P
-0.493 -2.027 1.504 Au
2.292 0.281 1.131 Au
-1.056 1.557 1.753 Au
0.000 0.000 0.000 In


Least stable of them? <2>.


<1>
In2PAu2 PBE optimized geometry; total magnetic moment = 0.0 μB/cell; SG = P4/mbm (127)
1.0
-4.767 4.439 4.841
-4.195 -6.660 1.975
2.029 -0.539 2.492
P Au In
2 4 4
Cartesian
0.000 0.000 0.000 P
-4.481 -1.111 3.408 P
-2.160 -3.866 3.052 Au
-5.633 -3.378 5.986 Au
-4.774 1.106 6.256 Au
-1.300 0.617 3.322 Au
-4.945 -4.036 3.153 In
-6.760 -0.915 5.307 In
-4.017 1.814 3.663 In
-2.202 -1.307 1.510 In


<2>
In2PAu2 PBE optimized geometry; total magnetic moment = 0.0 μB/cell; SG = P4/mbm (127)
1.0
7.140 0.000 0.000
0.000 7.140 0.000
0.000 0.000 4.209
P Au In
2 4 4
Cartesian
0.000 0.000 0.000 P
3.570 3.570 0.000 P
2.537 6.107 0.000 Au
6.107 4.603 0.000 Au
4.603 1.033 0.000 Au
1.033 2.537 0.000 Au
1.181 4.751 2.104 In
4.751 5.959 2.104 In
5.959 2.389 2.104 In
2.389 1.181 2.104 In


Least stable of them? <1>.


<1>
In2P2Au PBE optimized geometry; total magnetic moment = 0.0 μB/cell; SG = P4/mbm (127)
1.0
7.395 0.000 0.000
0.000 7.395 0.000
0.000 0.000 4.066
P Au In
4 2 4
Cartesian
2.131 5.829 0.000 P
5.829 5.264 0.000 P
5.264 1.567 0.000 P
1.567 2.131 0.000 P
0.000 0.000 0.000 Au
3.698 3.698 0.000 Au
0.998 4.696 2.033 In
4.696 6.397 2.033 In
6.397 2.700 2.033 In
2.700 0.998 2.033 In


<2>
In2P2Au PBE optimized geometry; total magnetic moment = 0.0 μB/cell; SG = I4/mmm (139)
1.0
3.438 0.000 0.000
0.000 3.438 0.000
1.719 1.719 8.664
P Au In
2 1 2
Cartesian
3.438 1.719 4.332 P
1.719 3.438 4.332 P
0.000 0.000 0.000 Au
1.719 1.719 1.749 In
3.438 3.438 6.915 In


Least stable of them? <1>.


<1>
InPAuS2 PBE optimized geometry; total magnetic moment = 0.0 μB/cell; SG = P4/mmm (123)
1.0
4.366 0.000 0.000
0.000 4.366 0.000
0.000 0.000 6.056
P S Au In
1 2 1 1
Cartesian
0.000 0.000 0.000 P
0.000 2.183 0.000 S
2.183 0.000 0.000 S
2.183 2.183 3.028 Au
0.000 0.000 3.028 In


<2>
InPAuS2 PBE optimized geometry; total magnetic moment = 0.6 μB/cell; SG = P4/mmm (123)
1.0
5.047 0.000 0.000
0.000 4.665 0.000
0.000 0.000 5.047
P S Au In
1 2 1 1
Cartesian
0.000 2.333 0.000 P
0.000 0.000 2.524 S
2.524 0.000 0.000 S
0.000 0.000 0.000 Au
2.524 2.333 2.524 In


<3>
InPAuS2 PBE optimized geometry; total magnetic moment = 1.4 μB/cell; SG = P4/mmm (123)
1.0
-4.787 -0.510 1.361
1.431 -0.842 4.719
-0.256 4.989 0.968
P S Au In
1 2 1 1
Cartesian
-0.128 2.494 0.484 P
0.716 -0.421 2.360 S
-2.394 -0.255 0.680 S
-1.806 1.818 3.524 Au
0.000 0.000 0.000 In


Least stable of them? <3>.


<1>
PaInAu3 PBE optimized geometry; total magnetic moment = 2.2 μB/cell; SG = C2/m (12)
1.0
-2.107 2.237 -4.096
-1.216 -4.594 -1.883
-6.160 1.530 7.183
Pa In Au
2 2 6
Cartesian
-5.474 -0.290 4.242 Pa
-4.009 -0.537 -3.039 Pa
-2.498 0.649 0.030 In
-6.985 -1.476 1.173 In
-2.082 1.700 -2.803 Au
-7.402 -2.527 4.006 Au
-4.243 -1.598 -0.298 Au
-5.240 0.772 1.502 Au
-4.601 -2.654 2.507 Au
-4.883 1.827 -1.304 Au


<2>
PaInAu3 PBE optimized geometry; total magnetic moment = 2.2 μB/cell; SG = Cmcm (63)
1.0
4.830 0.000 0.000
0.000 3.187 -0.609
0.000 0.963 13.678
Pa In Au
2 2 6
Cartesian
1.208 0.390 2.039 Pa
3.623 3.761 11.030 Pa
1.208 3.052 7.323 In
3.623 1.099 5.746 In
1.208 1.916 10.022 Au
3.623 2.234 3.046 Au
1.208 2.432 12.720 Au
3.623 1.718 0.349 Au
3.623 1.636 8.555 Au
1.208 2.515 4.514 Au


Least stable of them? <1>.


<1>
In2PbAu6 PBE optimized geometry; total magnetic moment = 0.0 μB/cell; SG = Immm (71)
1.0
3.394 0.000 0.000
1.697 8.050 1.357
1.697 2.920 7.624
In Pb Au
2 1 6
Cartesian
5.091 7.101 5.814 In
1.697 3.868 3.167 In
0.000 0.000 0.000 Pb
5.091 9.929 6.285 Au
1.697 1.040 2.696 Au
1.697 2.848 0.488 Au
3.394 6.370 3.410 Au
3.394 4.600 5.571 Au
5.091 8.122 8.493 Au


<2>
In2PbAu6 PBE optimized geometry; total magnetic moment = 0.0 μB/cell; SG = C2/c (15)
1.0
-1.983 -2.584 -4.621
7.302 -4.428 -1.595
-5.986 -4.659 4.235
In Pb Au
4 2 12
Cartesian
-1.419 -7.373 -0.265 In
-2.638 -5.631 -2.973 In
0.753 -4.297 -1.716 In
1.972 -6.040 0.993 In
-4.105 -5.264 2.038 Pb
3.439 -6.407 -4.018 Pb
1.314 -7.058 -1.585 Au
0.192 -5.849 -4.094 Au
-1.980 -4.613 -0.396 Au
-0.857 -5.821 2.114 Au
4.068 -6.506 -0.916 Au
3.562 -3.746 -1.959 Au
-4.733 -5.165 -1.065 Au
-4.228 -7.925 -0.021 Au
0.445 -8.346 1.767 Au
-0.917 -2.046 -1.087 Au
-1.111 -3.324 -3.747 Au
0.251 -9.624 -0.894 Au


Least stable of them? <1>.